! PaPdRuPb | Alexandria via LeMat-Bulk | PBE | relaxed; values from VASP
&SYSTEM
  ibrav = 0, nat = 4, ntyp = 4
/
ATOMIC_SPECIES
Pb 207.20 Pb.upf
Ru 101.07 Ru.upf
Pa 231.04 Pa.upf
Pd 106.42 Pd.upf
ATOMIC_POSITIONS crystal
Pb 0.0000 0.0000 0.0000
Ru 0.7500 0.7500 0.7500
Pa 0.5000 0.5000 0.5000
Pd 0.2500 0.2500 0.2500
CELL_PARAMETERS angstrom
4.8586 0.0000 0.0000
2.4293 4.2077 0.0000
2.4293 1.4026 3.9670
! formation energy: -0.196 eV/atom